The following is a GGA+U calculation of an optimized crystal structure of FeNiBO4, from Alexandria via LeMat-Bulk.

abc: 5.4678 5.6220 7.8016
angles: 90.00 90.00 90.00
Space group Imma (No. 74)
Symmetry-distinct sites (fractional):
Fe1 0.0000 0.0000 0.0000 (multiplicity 4)
Ni1 0.2500 0.2500 0.2500 (multiplicity 4)
B1 0.0000 0.2500 0.6304 (multiplicity 4)
O1 0.0000 0.0280 0.7395 (multiplicity 8)
O2 0.2301 0.2500 0.5125 (multiplicity 8)

***

The following is a GGA+U calculation of an optimized crystal structure of FeNi2BO5, from Alexandria via LeMat-Bulk.

DOS(E_F), states/eV per cell: 0.00

abc: 9.3195 12.3579 3.0340
angles: 90.00 90.00 90.00
Space group Pbam (No. 55)
Symmetry-distinct sites (fractional):
Fe1 0.2394 0.1150 0.0000 (multiplicity 4)
Ni1 0.0000 0.0000 0.5000 (multiplicity 2)
Ni2 0.0001 0.2821 0.5000 (multiplicity 4)
Ni3 0.0000 0.5000 0.0000 (multiplicity 2)
B1 0.2271 0.8606 0.0000 (multiplicity 4)
O1 0.1069 0.1435 0.5000 (multiplicity 4)
O2 0.1168 0.5777 0.5000 (multiplicity 4)
O3 0.1245 0.3593 0.0000 (multiplicity 4)
O4 0.1511 0.9579 0.0000 (multiplicity 4)
O5 0.1521 0.7632 0.0000 (multiplicity 4)

***

Electronic total energy readings, ordered: -0.4754; -0.4632 Ry/atom